DFT (GGA-PBE) results for an optimized crystal structure of HfBe6Au6.

Lattice parameters (Å, degrees): 4.859 8.460 8.634 90.00 90.00 90.00
Space group Immm (No. 71)
Asymmetric unit:
Hf 0.000 0.000 0.000 x2
Be 0.000 0.258 0.500 x4
Be 0.250 0.250 0.250 x8
Au 0.000 0.000 0.337 x4
Au 0.000 0.330 0.000 x4
Au 0.000 0.500 0.330 x4

Values from the calculation:
The value obtained for the final energy is -110.260 eV/cell. The calculation puts the formation energy at -243 meV/atom. The calculation puts the calculated volume at 355 Å³/cell. Its crystal system is orthorhombic.

=====

DFT (GGA-PBE) results for an optimized crystal structure of HfBeAu.

Lattice parameters (Å, degrees): 11.397 3.799 6.511 90.00 90.00 90.00
Space group Pmma (No. 51)
Asymmetric unit:
Hf 0.038 0.000 0.228 x4
Hf 0.250 0.000 0.860 x2
Be 0.090 0.500 0.950 x4
Be 0.250 0.000 0.431 x2
Au 0.122 0.500 0.581 x4
Au 0.250 0.500 0.194 x2

Values from the calculation:
The value obtained for the final energy is -109.239 eV/cell. The calculation puts the formation energy at -417 meV/atom. As for the energy above the most stable polymorph in this dataset: 0.000 eV/atom. The calculation puts the calculated volume at 282 Å³/cell. Its crystal system is orthorhombic.

=====

DFT (GGA-PBE) results for an optimized crystal structure of HfBeAu2.

Lattice parameters (Å, degrees): 3.050 3.050 6.960 90.00 90.00 90.00
Space group P4/mmm (No. 123)
Asymmetric unit:
Hf 0.000 0.000 0.000 x1
Be 0.000 0.000 0.500 x1
Au 0.500 0.500 0.294 x2

Values from the calculation:
The value obtained for the final energy is -21.399 eV/cell. The calculation puts the formation energy at -291 meV/atom. The calculation puts the calculated volume at 65 Å³/cell. Its crystal system is tetragonal.

=====

DFT (GGA-PBE) results for an optimized crystal structure of HfBe3Au.

Lattice parameters (Å, degrees): 4.612 4.612 4.612 90.00 90.00 90.00
Space group Pm-3m (No. 221)
Asymmetric unit:
Hf 0.000 0.000 0.000 x1
Be 0.000 0.000 0.500 x3
Au 0.500 0.500 0.500 x1

Values from the calculation:
The value obtained for the final energy is -15.318 eV/cell. The calculation puts the formation energy at 1818 meV/atom. As for the energy above the most stable polymorph in this dataset: 1.407 eV/atom. The calculation puts the calculated volume at 98 Å³/cell. Its crystal system is cubic.

=====

DFT (GGA-PBE) results for an optimized crystal structure of HfBeAu2.

Lattice parameters (Å, degrees): 4.099 4.099 17.645 90.00 90.00 90.00
Space group I-42d (No. 122)
Asymmetric unit:
Hf 0.000 0.000 0.000 x4
Be 0.000 0.000 0.500 x4
Au 0.218 0.250 0.625 x8

Values from the calculation:
The value obtained for the final energy is -79.306 eV/cell. The calculation puts the formation energy at 102 meV/atom. The calculation puts the calculated volume at 297 Å³/cell. Its crystal system is tetragonal.

=====

DFT (GGA-PBE) results for an optimized crystal structure of HfBeAu3.

Lattice parameters (Å, degrees): 5.234 5.234 5.234 90.00 90.00 90.00
Space group Pm-3m (No. 221)
Asymmetric unit:
Hf 0.000 0.000 0.000 x1
Be 0.500 0.500 0.500 x1
Au 0.000 0.000 0.500 x3

Values from the calculation:
The value obtained for the final energy is -18.082 eV/cell. The calculation puts the formation energy at 1086 meV/atom. As for the energy above the most stable polymorph in this dataset: 1.120 eV/atom. The calculation puts the calculated volume at 143 Å³/cell. Its crystal system is cubic.

=====

DFT (GGA-PBE) results for an optimized crystal structure of Hf2BeAu2.

Lattice parameters (Å, degrees): 3.684 3.684 15.042 90.00 90.00 90.00
Space group I4/mmm (No. 139)
Asymmetric unit:
Hf 0.000 0.000 0.097 x4
Be 0.000 0.000 0.500 x2
Au 0.000 0.500 0.250 x4

Values from the calculation:
The value obtained for the final energy is -56.997 eV/cell. The calculation puts the formation energy at 338 meV/atom. As for the energy above the most stable polymorph in this dataset: 0.562 eV/atom. The calculation puts the calculated volume at 204 Å³/cell. Its crystal system is tetragonal.

=====

DFT (GGA-PBE) results for an optimized crystal structure of HfBeAu2.

Lattice parameters (Å, degrees): 3.139 4.015 11.134 90.00 90.00 90.00
Space group Immm (No. 71)
Asymmetric unit:
Hf 0.000 0.000 0.000 x2
Be 0.000 0.000 0.500 x2
Au 0.000 0.000 0.307 x4

Values from the calculation:
The value obtained for the final energy is -39.743 eV/cell. The calculation puts the formation energy at 91 meV/atom. The calculation puts the calculated volume at 140 Å³/cell. Its crystal system is orthorhombic.

=====

calculated volume of number 7 (Hf2BeAu2)? 204 Å³/cell

=====

Number 7 is which compound? Hf2BeAu2

=====

What is the final energy in the fourth record? -15.318 eV/cell